1.
VASP calculation (PBE) on an optimized crystal structure of ThPa4As5.

Values from the calculation:
- mass density (g/cm³) = 10.24
- raw total energy (eV per atom) = -7.987
- volume (Å³/atom) = 24.83
- DOS(E_F) (states/eV/atom) = 1.010
- energy relative to the elements (eV per atom) = -1.12

Unit cell a=7.1432 b=7.1432 c=10.1157 alpha=118.13 beta=118.13 gamma=33.55
Last column: nearest neighbours and their distance in Å.
Element x y z (fractional)
Th: 0.0000 0.0000 0.0000  6 As 2.97-2.98
Pa: 0.2013 0.2013 0.7959  6 As 2.89-2.92
Pa: 0.4025 0.4025 0.6016  6 As 2.89-2.92
Pa: 0.5975 0.5975 0.3984  6 As 2.89-2.92
Pa: 0.7987 0.7987 0.2041  6 As 2.89-2.92
As: 0.0000 0.0000 0.5000  6 Pa 2.90
As: 0.2019 0.2019 0.3066  5 Pa 2.89-2.91, 1 Th 2.97
As: 0.3943 0.3943 0.1020  4 Pa 2.89-2.92, 2 Th 2.98
As: 0.6057 0.6057 0.8980  4 Pa 2.89-2.92, 2 Th 2.98
As: 0.7981 0.7981 0.6934  5 Pa 2.89-2.91, 1 Th 2.97



2.
VASP calculation (PBE) on an optimized crystal structure of CoNiSb2.

Values from the calculation:
- mass density (g/cm³) = 8.94
- raw total energy (eV per atom) = -5.065
- volume (Å³/atom) = 16.78
- DOS(E_F) (states/eV/atom) = 0.893
- formation energy without anion corrections (meV per atom) = 218

Unit cell a=6.4880 b=6.4717 c=3.1967 alpha=90.00 beta=91.03 gamma=90.00
Last column: nearest neighbours and their distance in Å.
Element x y z (fractional)
Co: 0.0000 0.0000 0.0000  8 Sb 2.78-2.81
Co: 0.5000 0.5000 0.0000  8 Sb 2.78-2.81
Ni: 0.0000 0.5000 0.0000  8 Sb 2.78-2.81
Ni: 0.5000 0.0000 0.0000  8 Sb 2.78-2.81
Sb: 0.2500 0.2500 0.5000  4 Co 2.78-2.81, 4 Ni 2.78-2.81
Sb: 0.2500 0.7500 0.5000  4 Co 2.78-2.81, 4 Ni 2.78-2.81
Sb: 0.7500 0.2500 0.5000  4 Co 2.78-2.81, 4 Ni 2.78-2.81
Sb: 0.7500 0.7500 0.5000  4 Ni 2.78-2.81, 4 Co 2.78-2.81



3.
VASP calculation (PBE) on an optimized crystal structure of ScTlCo2Sn.

Values from the calculation:
- mass density (g/cm³) = 6.62
- raw total energy (eV per atom) = -4.581
- volume (Å³/atom) = 24.39
- DOS(E_F) (states/eV/atom) = 1.188
- energy relative to the elements (eV per atom) = 0.80

Unit cell a=4.7702 b=4.7702 c=5.3601 alpha=90.00 beta=90.00 gamma=90.00
Last column: nearest neighbours and their distance in Å.
Element x y z (fractional)
Sc: 0.0000 0.0000 0.0000  2 Sn 2.68
Tl: 0.5000 0.5000 0.0000  4 Sc 3.37, 8 Co 3.59
Co: 0.0000 0.5000 0.5000  2 Sn 2.39
Co: 0.5000 0.0000 0.5000  2 Sn 2.39
Sn: 0.0000 0.0000 0.5000  4 Co 2.39



4.
VASP calculation (PBE) on an optimized crystal structure of Ac2Nd5Tm4.

Values from the calculation:
- mass density (g/cm³) = 8.00
- raw total energy (eV per atom) = -4.496
- volume (Å³/atom) = 34.91
- DOS(E_F) (states/eV/atom) = 1.495
- energy relative to the elements (eV per atom) = 0.04

Unit cell a=12.1282 b=12.1282 c=8.9781 alpha=105.16 beta=105.16 gamma=17.55
Last column: nearest neighbours and their distance in Å.
Element x y z (fractional)
Ac: 0.0887 0.0887 0.2194  5 Tm 3.64-3.70, 2 Ac 3.70, 5 Nd 3.70-3.77
Ac: 0.9113 0.9113 0.7806  5 Tm 3.64-3.70, 2 Ac 3.70, 5 Nd 3.70-3.77
Nd: 0.0000 0.0000 0.5000  4 Tm 3.62, 6 Nd 3.68-3.70, 2 Ac 3.70
Nd: 0.2721 0.2721 0.6899  3 Tm 3.58-3.62, 7 Nd 3.62-3.78, 2 Ac 3.71
Nd: 0.3623 0.3623 0.4028  3 Tm 3.53-3.59, 7 Nd 3.62-3.78, 2 Ac 3.77
Nd: 0.6377 0.6377 0.5972  3 Tm 3.53-3.59, 7 Nd 3.62-3.78, 2 Ac 3.77
Nd: 0.7279 0.7279 0.3101  3 Tm 3.58-3.62, 7 Nd 3.62-3.78, 2 Ac 3.71
Tm: 0.1825 0.1825 0.9522  5 Nd 3.58-3.62, 6 Tm 3.58-3.70, 1 Ac 3.70
Tm: 0.4502 0.4502 0.1430  3 Nd 3.53-3.62, 5 Tm 3.58-3.94, 4 Ac 3.64-3.70
Tm: 0.5498 0.5498 0.8570  3 Nd 3.53-3.62, 5 Tm 3.58-3.94, 4 Ac 3.64-3.70
Tm: 0.8175 0.8175 0.0478  5 Nd 3.58-3.62, 6 Tm 3.58-3.70, 1 Ac 3.70



Repeat the fourth record exactly.
VASP calculation (PBE) on an optimized crystal structure of Ac2Nd5Tm4.

Values from the calculation:
- mass density (g/cm³) = 8.00
- raw total energy (eV per atom) = -4.496
- volume (Å³/atom) = 34.91
- DOS(E_F) (states/eV/atom) = 1.495
- energy relative to the elements (eV per atom) = 0.04

Unit cell a=12.1282 b=12.1282 c=8.9781 alpha=105.16 beta=105.16 gamma=17.55
Last column: nearest neighbours and their distance in Å.
Element x y z (fractional)
Ac: 0.0887 0.0887 0.2194  5 Tm 3.64-3.70, 2 Ac 3.70, 5 Nd 3.70-3.77
Ac: 0.9113 0.9113 0.7806  5 Tm 3.64-3.70, 2 Ac 3.70, 5 Nd 3.70-3.77
Nd: 0.0000 0.0000 0.5000  4 Tm 3.62, 6 Nd 3.68-3.70, 2 Ac 3.70
Nd: 0.2721 0.2721 0.6899  3 Tm 3.58-3.62, 7 Nd 3.62-3.78, 2 Ac 3.71
Nd: 0.3623 0.3623 0.4028  3 Tm 3.53-3.59, 7 Nd 3.62-3.78, 2 Ac 3.77
Nd: 0.6377 0.6377 0.5972  3 Tm 3.53-3.59, 7 Nd 3.62-3.78, 2 Ac 3.77
Nd: 0.7279 0.7279 0.3101  3 Tm 3.58-3.62, 7 Nd 3.62-3.78, 2 Ac 3.71
Tm: 0.1825 0.1825 0.9522  5 Nd 3.58-3.62, 6 Tm 3.58-3.70, 1 Ac 3.70
Tm: 0.4502 0.4502 0.1430  3 Nd 3.53-3.62, 5 Tm 3.58-3.94, 4 Ac 3.64-3.70
Tm: 0.5498 0.5498 0.8570  3 Nd 3.53-3.62, 5 Tm 3.58-3.94, 4 Ac 3.64-3.70
Tm: 0.8175 0.8175 0.0478  5 Nd 3.58-3.62, 6 Tm 3.58-3.70, 1 Ac 3.70